[1]
# LiZn2Cu4

A relaxed structure of LiZn2Cu4 (PBE-GGA, Alexandria).

The structure belongs to space group Fmmm (No. 69); the cell edges are 4.912, 8.864 and 8.877 Å and the angles 90.00°, 90.00° and 90.00°. The asymmetric unit holds Li at (0.000, 0.000, 0.000), Zn at (0.250, 0.250, 0.250), Cu at (0.000, 0.000, 0.304) and Cu at (0.000, 0.199, 0.500).

The total energy is -3.01 eV/atom. The crystal system is orthorhombic. For the density of states at the Fermi level, the calculation gives 0.41 states/eV/atom. The energy above the most stable polymorph in this dataset comes out at 0 meV per atom.



[2]
# LiZn2Cu

A relaxed structure of LiZn2Cu (PBE-GGA, Alexandria).

The structure belongs to space group Pm (No. 6); the cell edges are 2.650, 4.259 and 4.847 Å and the angles 90.00°, 96.82° and 90.00°. The asymmetric unit holds Li at (0.000, 0.000, 0.000), Zn at (0.518, 0.000, 0.512), Zn at (0.606, 0.500, 0.202) and Cu at (0.123, 0.500, 0.707).

The total energy is -2.26 eV/atom. The crystal system is monoclinic. For the density of states at the Fermi level, the calculation gives 0.16 states/eV/atom.



[3]
# Li2Zn4Cu3

A relaxed structure of Li2Zn4Cu3 (PBE-GGA, Alexandria).

The structure belongs to space group Fmmm (No. 69); the cell edges are 4.781, 8.686 and 12.410 Å and the angles 90.00°, 90.00° and 90.00°. The asymmetric unit holds Li at (0.000, 0.000, 0.120), Zn at (0.000, 0.155, 0.326), Cu at (0.000, 0.000, 0.500) and Cu at (0.250, 0.250, 0.000).

The total energy is -2.48 eV/atom. The crystal system is orthorhombic. For the density of states at the Fermi level, the calculation gives 0.43 states/eV/atom. The energy above the most stable polymorph in this dataset comes out at 25 meV per atom.



[4]
# LiZn4Cu6

A relaxed structure of LiZn4Cu6 (PBE-GGA, Alexandria).

The structure belongs to space group I-42m (No. 121); the cell edges are 5.978, 5.978 and 9.593 Å and the angles 90.00°, 90.00° and 90.00°. The asymmetric unit holds Li at (0.000, 0.000, 0.000), Zn at (0.228, 0.228, 0.316), Cu at (0.000, 0.500, 0.000) and Cu at (0.159, 0.159, 0.586).

The total energy is -2.75 eV/atom. The crystal system is tetragonal. For the density of states at the Fermi level, the calculation gives 0.32 states/eV/atom. The energy above the most stable polymorph in this dataset comes out at 154 meV per atom.



[5]
# LiZn4Cu4

A relaxed structure of LiZn4Cu4 (PBE-GGA, Alexandria).

The structure belongs to space group I4/mmm (No. 139); the cell edges are 7.913, 7.913 and 3.765 Å and the angles 90.00°, 90.00° and 90.00°. The asymmetric unit holds Li at (0.000, 0.000, 0.000), Zn at (0.168, 0.168, 0.500) and Cu at (0.000, 0.337, 0.000).

The total energy is -2.70 eV/atom. The crystal system is tetragonal. For the density of states at the Fermi level, the calculation gives 0.25 states/eV/atom.



[6]
# Li6Zn10Cu

A relaxed structure of Li6Zn10Cu (PBE-GGA, Alexandria).

The structure belongs to space group P-31m (No. 162); the cell edges are 7.3860, 7.3860 and 5.2445 Å and the angles 90.00°, 90.00° and 120.00°. The asymmetric unit holds Li at (0.0000, 0.3661, 0.3109), Zn at (0.0000, 0.2731, 0.8215), Zn at (0.3333, 0.6667, 0.0000), Zn at (0.3333, 0.6667, 0.5000) and Cu at (0.0000, 0.0000, 0.5000).

The total energy is -1.76 eV/atom. The crystal system is trigonal. For the density of states at the Fermi level, the calculation gives 0.36 states/eV/atom.